Model one:
# TaFe3Au | the Alexandria database | PBE-GGA | optimized geometry
# **DOS at the Fermi energy**: 5.06 states/eV/f.u.
# **Density**: 9.9 g/cm3
# **Crystal system**: cubic
# **Volume**: 18.21 Å³/atom
data_TaFe3Au
_chemical_formula_sum 'Ta1 Fe3 Au1'
_space_group_name_H-M_alt 'P m -3 m'
_space_group_IT_number 221
_space_group_name_Hall '-P 4 2 3'
_cell_length_a 4.498
_cell_length_b 4.498
_cell_length_c 4.498
_cell_angle_alpha 90.00
_cell_angle_beta 90.00
_cell_angle_gamma 90.00
loop_
_atom_site_label
_atom_site_type_symbol
_atom_site_fract_x
_atom_site_fract_y
_atom_site_fract_z
Ta1 Ta 0.000 0.000 0.000
Fe1 Fe 0.000 0.000 0.500
Au1 Au 0.500 0.500 0.500

=====

Model two:
# TaFe3Au | the Alexandria database | PBE-GGA | optimized geometry
# **DOS at the Fermi energy**: 5.42 states/eV/f.u.
# **Density**: 9.0 g/cm3
# **Crystal system**: cubic
# **Volume**: 20.04 Å³/atom
data_TaFe3Au
_chemical_formula_sum 'Ta1 Fe3 Au1'
_space_group_name_H-M_alt 'P m -3 m'
_space_group_IT_number 221
_space_group_name_Hall '-P 4 2 3'
_cell_length_a 4.645
_cell_length_b 4.645
_cell_length_c 4.645
_cell_angle_alpha 90.00
_cell_angle_beta 90.00
_cell_angle_gamma 90.00
loop_
_atom_site_label
_atom_site_type_symbol
_atom_site_fract_x
_atom_site_fract_y
_atom_site_fract_z
Ta1 Ta 0.000 0.000 0.000
Fe1 Fe 0.000 0.500 0.500
Au1 Au 0.500 0.500 0.500

=====

Most stable: model one

=====

Model one:
# Fe2TcAu | the Alexandria database | PBE-GGA | optimized geometry
# **DOS at the Fermi energy**: 5.30 states/eV/f.u.
# **Density**: 12.0 g/cm3
# **Crystal system**: orthorhombic
# **Volume**: 14.06 Å³/atom
data_Fe2TcAu
_chemical_formula_sum 'Fe4 Tc2 Au2'
_space_group_name_H-M_alt 'C m m m'
_space_group_IT_number 65
_space_group_name_Hall '-C 2 2'
_cell_length_a 5.519
_cell_length_b 7.554
_cell_length_c 2.698
_cell_angle_alpha 90.00
_cell_angle_beta 90.00
_cell_angle_gamma 90.00
loop_
_atom_site_label
_atom_site_type_symbol
_atom_site_fract_x
_atom_site_fract_y
_atom_site_fract_z
Fe1 Fe 0.250 0.250 0.000
Tc1 Tc 0.000 0.000 0.500
Au1 Au 0.000 0.500 0.500

=====

Model two:
# Fe2TcAu | the Alexandria database | PBE-GGA | optimized geometry
# **DOS at the Fermi energy**: 5.75 states/eV/f.u.
# **Density**: 11.9 g/cm3
# **Crystal system**: trigonal
# **Volume**: 14.18 Å³/atom
data_Fe2TcAu
_chemical_formula_sum 'Fe6 Tc3 Au3'
_space_group_name_H-M_alt 'R -3 m'
_space_group_IT_number 166
_space_group_name_Hall '-R 3 2"'
_cell_length_a 2.7343
_cell_length_b 2.7343
_cell_length_c 26.2852
_cell_angle_alpha 90.00
_cell_angle_beta 90.00
_cell_angle_gamma 120.00
loop_
_atom_site_label
_atom_site_type_symbol
_atom_site_fract_x
_atom_site_fract_y
_atom_site_fract_z
Fe1 Fe 0.0000 0.0000 0.2458
Tc1 Tc 0.0000 0.0000 0.5000
Au1 Au 0.0000 0.0000 0.0000

=====

Model three:
# Fe2TcAu | the Alexandria database | PBE-GGA | optimized geometry
# **DOS at the Fermi energy**: 4.52 states/eV/f.u.
# **Density**: 11.8 g/cm3
# **Crystal system**: cubic
# **Volume**: 14.36 Å³/atom
data_Fe2TcAu
_chemical_formula_sum 'Fe8 Tc4 Au4'
_space_group_name_H-M_alt 'F -4 3 m'
_space_group_IT_number 216
_space_group_name_Hall 'F -4 2 3'
_cell_length_a 6.124
_cell_length_b 6.124
_cell_length_c 6.124
_cell_angle_alpha 90.00
_cell_angle_beta 90.00
_cell_angle_gamma 90.00
loop_
_atom_site_label
_atom_site_type_symbol
_atom_site_fract_x
_atom_site_fract_y
_atom_site_fract_z
Fe1 Fe 0.000 0.000 0.000
Fe2 Fe 0.250 0.250 0.250
Tc1 Tc 0.000 0.000 0.500
Au1 Au 0.250 0.250 0.750

=====

Most stable: model two

=====

Model one:
# TiFe2Au2 | the Alexandria database | PBE-GGA | optimized geometry
# **DOS at the Fermi energy**: 4.10 states/eV/f.u.
# **Density**: 11.9 g/cm3
# **Crystal system**: tetragonal
# **Volume**: 15.49 Å³/atom
data_TiFe2Au2
_chemical_formula_sum 'Ti2 Fe4 Au4'
_space_group_name_H-M_alt 'P 4/m b m'
_space_group_IT_number 127
_space_group_name_Hall '-P 4 2ab'
_cell_length_a 6.374
_cell_length_b 6.374
_cell_length_c 3.812
_cell_angle_alpha 90.00
_cell_angle_beta 90.00
_cell_angle_gamma 90.00
loop_
_atom_site_label
_atom_site_type_symbol
_atom_site_fract_x
_atom_site_fract_y
_atom_site_fract_z
Ti1 Ti 0.000 0.000 0.000
Fe1 Fe 0.129 0.371 0.000
Au1 Au 0.170 0.670 0.500

=====

Model two:
# TiFe2Au2 | the Alexandria database | PBE-GGA | optimized geometry
# **DOS at the Fermi energy**: 6.34 states/eV/f.u.
# **Density**: 11.3 g/cm3
# **Crystal system**: tetragonal
# **Volume**: 16.28 Å³/atom
data_TiFe2Au2
_chemical_formula_sum 'Ti2 Fe4 Au4'
_space_group_name_H-M_alt 'I 4/m m m'
_space_group_IT_number 139
_space_group_name_Hall '-I 4 2'
_cell_length_a 3.446
_cell_length_b 3.446
_cell_length_c 13.712
_cell_angle_alpha 90.00
_cell_angle_beta 90.00
_cell_angle_gamma 90.00
loop_
_atom_site_label
_atom_site_type_symbol
_atom_site_fract_x
_atom_site_fract_y
_atom_site_fract_z
Ti1 Ti 0.000 0.000 0.000
Fe1 Fe 0.000 0.500 0.250
Au1 Au 0.000 0.000 0.400

=====

Most stable: model one

=====

Model one:
# TiFe2Au | the Alexandria database | PBE-GGA | optimized geometry
# **DOS at the Fermi energy**: 6.46 states/eV/f.u.
# **Density**: 10.9 g/cm3
# **Crystal system**: cubic
# **Volume**: 13.53 Å³/atom
data_TiFe2Au
_chemical_formula_sum 'Ti4 Fe8 Au4'
_space_group_name_H-M_alt 'F m -3 m'
_space_group_IT_number 225
_space_group_name_Hall '-F 4 2 3'
_cell_length_a 6.004
_cell_length_b 6.004
_cell_length_c 6.004
_cell_angle_alpha 90.00
_cell_angle_beta 90.00
_cell_angle_gamma 90.00
loop_
_atom_site_label
_atom_site_type_symbol
_atom_site_fract_x
_atom_site_fract_y
_atom_site_fract_z
Ti1 Ti 0.000 0.000 0.000
Fe1 Fe 0.250 0.250 0.250
Au1 Au 0.000 0.000 0.500

=====

Model two:
# TiFe2Au | the Alexandria database | PBE-GGA | optimized geometry
# **DOS at the Fermi energy**: 3.62 states/eV/f.u.
# **Density**: 10.7 g/cm3
# **Crystal system**: tetragonal
# **Volume**: 13.89 Å³/atom
data_TiFe2Au
_chemical_formula_sum 'Ti1 Fe2 Au1'
_space_group_name_H-M_alt 'P 4/m m m'
_space_group_IT_number 123
_space_group_name_Hall '-P 4 2'
_cell_length_a 3.869
_cell_length_b 3.869
_cell_length_c 3.712
_cell_angle_alpha 90.00
_cell_angle_beta 90.00
_cell_angle_gamma 90.00
loop_
_atom_site_label
_atom_site_type_symbol
_atom_site_fract_x
_atom_site_fract_y
_atom_site_fract_z
Ti1 Ti 0.000 0.000 0.000
Fe1 Fe 0.000 0.500 0.500
Au1 Au 0.500 0.500 0.000

=====

Model three:
# TiFe2Au | the Alexandria database | PBE-GGA | optimized geometry
# **DOS at the Fermi energy**: 3.51 states/eV/f.u.
# **Density**: 9.4 g/cm3
# **Crystal system**: tetragonal
# **Volume**: 15.76 Å³/atom
data_TiFe2Au
_chemical_formula_sum 'Ti4 Fe8 Au4'
_space_group_name_H-M_alt 'I -4 2 d'
_space_group_IT_number 122
_space_group_name_Hall 'I -4 2bw'
_cell_length_a 3.747
_cell_length_b 3.747
_cell_length_c 17.953
_cell_angle_alpha 90.00
_cell_angle_beta 90.00
_cell_angle_gamma 90.00
loop_
_atom_site_label
_atom_site_type_symbol
_atom_site_fract_x
_atom_site_fract_y
_atom_site_fract_z
Ti1 Ti 0.000 0.000 0.000
Fe1 Fe 0.229 0.250 0.125
Au1 Au 0.000 0.000 0.500

=====

Most stable: model two

=====

Model one:
# TlFeAu2 | the Alexandria database | PBE-GGA | optimized geometry
# **DOS at the Fermi energy**: 3.29 states/eV/f.u.
# **Density**: 14.3 g/cm3
# **Crystal system**: orthorhombic
# **Volume**: 18.93 Å³/atom
data_TlFeAu2
_chemical_formula_sum 'Tl2 Fe2 Au4'
_space_group_name_H-M_alt 'C m m m'
_space_group_IT_number 65
_space_group_name_Hall '-C 2 2'
_cell_length_a 5.747
_cell_length_b 7.982
_cell_length_c 3.301
_cell_angle_alpha 90.00
_cell_angle_beta 90.00
_cell_angle_gamma 90.00
loop_
_atom_site_label
_atom_site_type_symbol
_atom_site_fract_x
_atom_site_fract_y
_atom_site_fract_z
Tl1 Tl 0.000 0.000 0.000
Fe1 Fe 0.000 0.500 0.000
Au1 Au 0.250 0.250 0.500

=====

Model two:
# TlFeAu2 | the Alexandria database | PBE-GGA | optimized geometry
# **DOS at the Fermi energy**: 3.77 states/eV/f.u.
# **Density**: 14.5 g/cm3
# **Crystal system**: cubic
# **Volume**: 18.72 Å³/atom
data_TlFeAu2
_chemical_formula_sum 'Tl4 Fe4 Au8'
_space_group_name_H-M_alt 'F m -3 m'
_space_group_IT_number 225
_space_group_name_Hall '-F 4 2 3'
_cell_length_a 6.691
_cell_length_b 6.691
_cell_length_c 6.691
_cell_angle_alpha 90.00
_cell_angle_beta 90.00
_cell_angle_gamma 90.00
loop_
_atom_site_label
_atom_site_type_symbol
_atom_site_fract_x
_atom_site_fract_y
_atom_site_fract_z
Tl1 Tl 0.000 0.000 0.000
Fe1 Fe 0.000 0.000 0.500
Au1 Au 0.250 0.250 0.250

=====

Model three:
# TlFeAu2 | the Alexandria database | PBE-GGA | optimized geometry
# **DOS at the Fermi energy**: 2.99 states/eV/f.u.
# **Density**: 13.7 g/cm3
# **Crystal system**: tetragonal
# **Volume**: 19.86 Å³/atom
data_TlFeAu2
_chemical_formula_sum 'Tl4 Fe4 Au8'
_space_group_name_H-M_alt 'I -4 2 d'
_space_group_IT_number 122
_space_group_name_Hall 'I -4 2bw'
_cell_length_a 3.961
_cell_length_b 3.961
_cell_length_c 20.250
_cell_angle_alpha 90.00
_cell_angle_beta 90.00
_cell_angle_gamma 90.00
loop_
_atom_site_label
_atom_site_type_symbol
_atom_site_fract_x
_atom_site_fract_y
_atom_site_fract_z
Tl1 Tl 0.000 0.000 0.000
Fe1 Fe 0.000 0.000 0.500
Au1 Au 0.241 0.250 0.625

=====

Most stable: model one